# CoTcIr

A PBEsol-optimized structure of CoTcIr (SCAN, the Alexandria database).

Results
* E_form: 0.39 eV per atom

Lattice parameters (Å, degrees): 4.038 4.038 4.038 60.00 60.00 60.00
Atoms (fractional coordinates):
Co 0.000 0.000 0.000
Tc 0.500 0.500 0.500
Ir 0.750 0.750 0.750


# CoTc2Ir

A PBEsol-optimized structure of CoTc2Ir (SCAN, the Alexandria database).

Results
* E_form: -0.16 eV per atom
* offset from the most stable computed form: 0 meV/atom

Lattice parameters (Å, degrees): 2.656 4.201 4.652 90.00 90.00 90.00
Atoms (fractional coordinates):
Co 0.000 0.000 0.000
Tc 0.500 0.000 0.484
Tc 0.500 0.500 0.154
Ir 0.000 0.500 0.672